The following is a PBE+U calculation of a relaxed structure of NiSnSbO2, from the Alexandria database.

Results
SG: P4/mmm, No. 123
Calculated total energy, eV per atom: -4.16
ΔE to the lowest computed polymorph, eV per formula unit: 0.000

Cell lengths 3.9454, 6.3632, 3.9454 Å; angles 90.00, 90.00, 90.00 degrees
Closest atoms and distances in Å follow each position.
Fractional positions:
Sb: 0.0000 0.5000 0.0000  4 Ni 2.79
Sn: 0.0000 0.0000 0.0000  4 O 1.97
O: 0.0000 0.0000 0.5000  2 Sn 1.97
O: 0.5000 0.0000 0.0000  2 Sn 1.97
Ni: 0.5000 0.5000 0.5000  4 Sb 2.79